(1)
Density functional theory data (GGA-PBE) for BaNa3Cu after structural relaxation.

```
BaNa3Cu
1.0
5.682 0.000 0.000
0.000 5.682 0.000
0.000 0.000 5.682
Cu Na Ba
1 3 1
direct
0.000 0.000 0.000
0.500 0.000 0.000
0.000 0.000 0.500
0.000 0.500 0.000
0.500 0.500 0.500
```

Results
Energy relative to the lowest polymorph listed for this composition ... 0 meV per atom
Theoretical density ... 2.443 g/cm³
Space group ... Pm-3m
DFT formation energy ... 212.6 meV/atom
DOS at the Fermi energy ... 0.82 states/eV/atom
V ... 36.68 Å³ per atom
Total moment ... 0.0 μB/f.u.

---

(2)
Density functional theory data (GGA-PBE) for LaHg2Pt after structural relaxation.

```
LaHg2Pt
1.0
4.118 1.092 0.000
-1.092 4.118 0.000
0.000 0.000 5.419
La Pt Hg
1 1 2
direct
0.500 0.000 0.500
0.000 0.500 0.500
0.000 0.000 0.000
0.500 0.500 0.000
```

Results
Theoretical density ... 12.413 g/cm³
Space group ... P4/mmm
DFT formation energy ... -506.7 meV/atom
DOS at the Fermi energy ... 0.45 states/eV/atom
V ... 24.59 Å³ per atom
Total moment ... 0.0 μB/f.u.

---

(3)
Density functional theory data (GGA-PBE) for PuSiHAu after structural relaxation.

```
PuSiHAu
1.0
2.984 0.000 0.000
0.000 4.181 -0.610
0.000 -1.361 5.283
Pu H Si Au
1 1 1 1
direct
0.500 0.504 0.388
0.000 0.026 0.434
0.000 0.830 0.041
0.000 0.209 0.798
```

Results
Energy ... -6.810 eV/atom
Theoretical density ... 12.307 g/cm³
Space group ... Pm
DOS at the Fermi energy ... 1.85 states/eV/atom
V ... 15.86 Å³ per atom
Total moment ... 5.6 μB/f.u.